# SrMg2ZnTc PBE-GGA optimized geometry
# - calculated formation energy (eV per atom) = 0.504
# - space-group type = P4/mmm
data_SrMg2ZnTc
_cell_length_a 4.977
_cell_length_b 5.012
_cell_length_c 4.977
_cell_angle_alpha 90.00
_cell_angle_beta 90.00
_cell_angle_gamma 90.00
_symmetry_space_group_name_H-M 'P 1'
_symmetry_Int_Tables_number 1
loop_
_symmetry_equiv_pos_as_xyz
'x,y,z'
loop_
_atom_site_label
_atom_site_type_symbol
_atom_site_fract_x
_atom_site_fract_y
_atom_site_fract_z
_atom_site_occupancy
Mg1 Mg 0.000 0.000 0.500 1
Mg2 Mg 0.500 0.000 0.000 1
Sr1 Sr 0.500 0.500 0.500 1
Zn1 Zn 0.000 0.000 0.000 1
Tc1 Tc 0.000 0.500 0.000 1